# BeAg2Br GGA-PBE relaxed
# Mass density in kg/m3: 5674
# ΔE to the lowest computed polymorph in meV/atom: 0
# Total magnetic moment in μB/cell: 0.000
# Crystal system: monoclinic
# Formation energy (no corrections) in meV per atom: 44
# E_tot in eV/atom: -2.73
data_BeAg2Br
_chemical_formula_sum 'Be2 Ag4 Br2'
_symmetry_space_group_name_H-M 'C 1 m 1'
_symmetry_Int_Tables_number 8
_cell_length_a 8.748
_cell_length_b 3.378
_cell_length_c 6.555
_cell_angle_alpha 90.00
_cell_angle_beta 112.99
_cell_angle_gamma 90.00
loop_
_symmetry_equiv_pos_as_xyz
'x,y,z'
'x,-y,z'
'x+1/2,y+1/2,z'
'x+1/2,-y+1/2,z'
loop_
_atom_site_label
_atom_site_type_symbol
_atom_site_fract_x
_atom_site_fract_y
_atom_site_fract_z
Be1 Be 0.000 0.000 0.000
Ag1 Ag 0.187 0.500 0.928
Ag2 Ag 0.347 0.000 0.727
Br1 Br 0.058 0.000 0.343